No. 1
The following is a DFT calculation (PBE) of an optimized crystal structure of PmSm2ScSe4.

```
data_PmSm2ScSe4
_symmetry_space_group_name_H-M 'P 1 2/m 1'
_symmetry_Int_Tables_number 10
_cell_length_a 7.1393
_cell_length_b 4.0661
_cell_length_c 7.1670
_cell_angle_alpha 90.00
_cell_angle_beta 108.92
_cell_angle_gamma 90.00
loop_
_symmetry_equiv_pos_as_xyz
'x,y,z'
'-x,-y,-z'
'-x,y,-z'
'x,-y,z'
loop_
_atom_site_label
_atom_site_fract_x
_atom_site_fract_y
_atom_site_fract_z
Pm1 0.0000 0.0000 0.0000
Sm1 0.5000 0.0000 0.5000
Sm2 0.5000 0.5000 0.0000
Sc1 0.0000 0.5000 0.5000
Se1 0.2345 0.0000 0.7332
Se2 0.2432 0.5000 0.2596
```

## Properties
E_tot   -48.38 eV/f.u.
Raw formation energy   -1.7401 eV/atom

=====

No. 2
The following is a DFT calculation (PBE) of an optimized crystal structure of NbGa2N2.

```
data_NbGa2N2
_symmetry_space_group_name_H-M 'I 4/m m m'
_symmetry_Int_Tables_number 139
_symmetry_space_group_name_Hall '-I 4 2'
_cell_length_a 3.3085
_cell_length_b 3.3085
_cell_length_c 12.9870
_cell_angle_alpha 90.00
_cell_angle_beta 90.00
_cell_angle_gamma 90.00
loop_
_atom_site_label
_atom_site_fract_x
_atom_site_fract_y
_atom_site_fract_z
Nb1 0.0000 0.0000 0.0000
Ga1 0.0000 0.5000 0.2500
N1 0.0000 0.0000 0.4469
```

## Properties
E_tot   -29.65 eV/f.u.
Raw formation energy   0.6254 eV/atom
ΔE to the lowest computed polymorph   726 meV per atom

=====

No. 3
The following is a DFT calculation (PBE) of an optimized crystal structure of Sr8Tl2In.

```
data_Sr8Tl2In
_symmetry_space_group_name_H-M 'I m m m'
_symmetry_Int_Tables_number 71
_symmetry_space_group_name_Hall '-I 2 2'
_cell_length_a 5.7044
_cell_length_b 9.3058
_cell_length_c 16.9589
_cell_angle_alpha 90.00
_cell_angle_beta 90.00
_cell_angle_gamma 90.00
loop_
_atom_site_label
_atom_site_fract_x
_atom_site_fract_y
_atom_site_fract_z
Sr1 0.0000 0.0000 0.1415
Sr2 0.0000 0.2202 0.3393
Sr3 0.0000 0.3091 0.0000
Tl1 0.0000 0.5000 0.1868
In1 0.0000 0.5000 0.5000
```

## Properties
E_tot   -23.18 eV/f.u.
Formation energy   -205 meV per atom

=====

No. 4
The following is a DFT calculation (PBE) of an optimized crystal structure of Rb4Ba3UO8.

```
data_Rb4Ba3UO8
_symmetry_space_group_name_H-M 'R -3 m'
_symmetry_Int_Tables_number 166
_symmetry_space_group_name_Hall '-R 3 2"'
_cell_length_a 7.8054
_cell_length_b 7.8054
_cell_length_c 19.7871
_cell_angle_alpha 90.00
_cell_angle_beta 90.00
_cell_angle_gamma 120.00
loop_
_atom_site_label
_atom_site_fract_x
_atom_site_fract_y
_atom_site_fract_z
Rb1 0.0000 0.0000 0.0000
Rb2 0.0000 0.5000 0.0000
Ba1 0.0000 0.5000 0.5000
U1 0.0000 0.0000 0.5000
O1 0.0000 0.0000 0.2347
O2 0.0695 0.5348 0.2262
```

## Properties
E_tot   -96.89 eV/f.u.
Raw formation energy   -2.2688 eV/atom

=====

No. 5
The following is a DFT calculation (PBE) of an optimized crystal structure of ZnHgRu2.

```
data_ZnHgRu2
_symmetry_space_group_name_H-M 'P 1 2/m 1'
_symmetry_Int_Tables_number 10
_cell_length_a 2.8147
_cell_length_b 4.4304
_cell_length_c 5.1796
_cell_angle_alpha 90.00
_cell_angle_beta 99.34
_cell_angle_gamma 90.00
loop_
_symmetry_equiv_pos_as_xyz
'x,y,z'
'-x,-y,-z'
'-x,y,-z'
'x,-y,z'
loop_
_atom_site_label
_atom_site_fract_x
_atom_site_fract_y
_atom_site_fract_z
Zn1 0.0000 0.0000 0.0000
Hg1 0.5000 0.0000 0.5000
Ru1 0.2037 0.5000 0.7824
```

## Properties
E_tot   -18.42 eV/f.u.
Formation energy   426 meV per atom
ΔE to the lowest computed polymorph   284 meV per atom

=====

No. 6
The following is a DFT calculation (PBE) of an optimized crystal structure of BaMnZnH6.

```
data_BaMnZnH6
_symmetry_space_group_name_H-M 'P -6 m 2'
_symmetry_Int_Tables_number 187
_symmetry_space_group_name_Hall 'P -6 2'
_cell_length_a 4.6481
_cell_length_b 4.6481
_cell_length_c 5.1103
_cell_angle_alpha 90.00
_cell_angle_beta 90.00
_cell_angle_gamma 120.00
loop_
_atom_site_label
_atom_site_fract_x
_atom_site_fract_y
_atom_site_fract_z
Ba1 0.0000 0.0000 0.0000
Mn1 0.6667 0.3333 0.5000
Zn1 0.3333 0.6667 0.5000
H1 0.5151 0.0302 0.2773
```

## Properties
E_tot   -34.36 eV/f.u.

=====

No. 7
The following is a DFT calculation (PBE) of an optimized crystal structure of Tb2Tm3Ir2.

```
data_Tb2Tm3Ir2
_symmetry_space_group_name_H-M 'C 1 2/m 1'
_symmetry_Int_Tables_number 12
_cell_length_a 11.9514
_cell_length_b 3.8125
_cell_length_c 8.8089
_cell_angle_alpha 90.00
_cell_angle_beta 116.36
_cell_angle_gamma 90.00
loop_
_symmetry_equiv_pos_as_xyz
'x,y,z'
'-x,-y,-z'
'-x,y,-z'
'x,-y,z'
'x+1/2,y+1/2,z'
'-x+1/2,-y+1/2,-z'
'-x+1/2,y+1/2,-z'
'x+1/2,-y+1/2,z'
loop_
_atom_site_label
_atom_site_fract_x
_atom_site_fract_y
_atom_site_fract_z
Tb1 0.1659 0.0000 0.3058
Tm1 0.0000 0.5000 0.5000
Tm2 0.1198 0.5000 0.9314
Ir1 0.1743 0.0000 0.7368
```

## Properties
E_tot   -45.01 eV/f.u.
Formation energy   -659 meV per atom

=====

No. 8
The following is a DFT calculation (PBE) of an optimized crystal structure of La4PuS5.

```
data_La4PuS5
_symmetry_space_group_name_H-M 'I 4/m'
_symmetry_Int_Tables_number 87
_symmetry_space_group_name_Hall '-I 4'
_cell_length_a 9.2191
_cell_length_b 9.2191
_cell_length_c 5.8306
_cell_angle_alpha 90.00
_cell_angle_beta 90.00
_cell_angle_gamma 90.00
loop_
_atom_site_label
_atom_site_fract_x
_atom_site_fract_y
_atom_site_fract_z
La1 0.0975 0.7002 0.0000
Pu1 0.0000 0.0000 0.5000
S1 0.0000 0.0000 0.0000
S2 0.0982 0.7073 0.5000
```

## Properties
E_tot   -75.50 eV/f.u.
Raw formation energy   -2.0821 eV/atom

=====

No. 9
The following is a DFT calculation (PBE) of an optimized crystal structure of PrLuH.

```
data_PrLuH
_symmetry_space_group_name_H-M 'I 4 m m'
_symmetry_Int_Tables_number 107
_symmetry_space_group_name_Hall 'I 4 -2'
_cell_length_a 3.4372
_cell_length_b 3.4372
_cell_length_c 12.1344
_cell_angle_alpha 90.00
_cell_angle_beta 90.00
_cell_angle_gamma 90.00
loop_
_atom_site_label
_atom_site_fract_x
_atom_site_fract_y
_atom_site_fract_z
Pr1 0.0000 0.0000 0.0000
Lu1 0.0000 0.0000 0.2902
H1 0.0000 0.0000 0.4700
```

## Properties
E_tot   -12.93 eV/f.u.
ΔE to the lowest computed polymorph   103 meV per atom

=====

No. 10
The following is a DFT calculation (PBE) of an optimized crystal structure of Sc3CdC.

```
data_Sc3CdC
_symmetry_space_group_name_H-M 'C 1 2/c 1'
_symmetry_Int_Tables_number 15
_cell_length_a 10.2463
_cell_length_b 13.4764
_cell_length_c 6.1655
_cell_angle_alpha 90.00
_cell_angle_beta 111.52
_cell_angle_gamma 90.00
loop_
_symmetry_equiv_pos_as_xyz
'x,y,z'
'-x,-y,-z'
'-x,y,-z+1/2'
'x,-y,z+1/2'
'x+1/2,y+1/2,z'
'-x+1/2,-y+1/2,-z'
'-x+1/2,y+1/2,-z+1/2'
'x+1/2,-y+1/2,z+1/2'
loop_
_atom_site_label
_atom_site_fract_x
_atom_site_fract_y
_atom_site_fract_z
Sc1 0.0686 0.0967 0.0193
Sc2 0.1910 0.4698 0.5035
Sc3 0.2161 0.2083 0.7301
Cd1 0.0000 0.2850 0.2500
Cd2 0.0000 0.3505 0.7500
C1 0.1553 0.0513 0.7048
```

## Properties
E_tot   -30.52 eV/f.u.
Formation energy   -278 meV per atom
ΔE to the lowest computed polymorph   186 meV per atom

=====

No. 11
The following is a DFT calculation (PBE) of an optimized crystal structure of Tb5ErTm2.

```
data_Tb5ErTm2
_symmetry_space_group_name_H-M 'C 1 2/m 1'
_symmetry_Int_Tables_number 12
_cell_length_a 16.2634
_cell_length_b 5.5893
_cell_length_c 11.3258
_cell_angle_alpha 90.00
_cell_angle_beta 90.11
_cell_angle_gamma 90.00
loop_
_symmetry_equiv_pos_as_xyz
'x,y,z'
'-x,-y,-z'
'-x,y,-z'
'x,-y,z'
'x+1/2,y+1/2,z'
'-x+1/2,-y+1/2,-z'
'-x+1/2,y+1/2,-z'
'x+1/2,-y+1/2,z'
loop_
_atom_site_label
_atom_site_fract_x
_atom_site_fract_y
_atom_site_fract_z
Tb1 0.0446 0.0000 0.3864
Tb2 0.0473 0.0000 0.1112
Tb3 0.0880 0.5000 0.9179
Tb4 0.0887 0.5000 0.5787
Tb5 0.1065 0.5000 0.2496
Er1 0.2277 0.0000 0.2506
Tm1 0.2139 0.0000 0.5793
Tm2 0.2146 0.0000 0.9203
```

## Properties
E_tot   -35.56 eV/f.u.
Formation energy   137 meV per atom
ΔE to the lowest computed polymorph   121 meV per atom

=====

No. 12
The following is a DFT calculation (PBE) of an optimized crystal structure of Zr2HgSe.

```
data_Zr2HgSe
_symmetry_space_group_name_H-M 'I -4 2 d'
_symmetry_Int_Tables_number 122
_symmetry_space_group_name_Hall 'I -4 2bw'
_cell_length_a 5.4453
_cell_length_b 5.4453
_cell_length_c 15.2529
_cell_angle_alpha 90.00
_cell_angle_beta 90.00
_cell_angle_gamma 90.00
loop_
_atom_site_label
_atom_site_fract_x
_atom_site_fract_y
_atom_site_fract_z
Zr1 0.2140 0.2500 0.1250
Hg1 0.0000 0.0000 0.5000
Se1 0.0000 0.0000 0.0000
```

## Properties
E_tot   -20.58 eV/f.u.
Raw formation energy   0.0748 eV/atom
ΔE to the lowest computed polymorph   665 meV per atom